Below is a geometry-optimized Ba2CuTeIr structure, with properties calculated at the PBE level.

Values from the calculation:
raw formation energy	-0.3853	eV per atom
density	6.31	g/cm3

Cell lengths 6.0768, 6.0768, 4.6871 Å; angles 90.00, 90.00, 90.00 degrees
Closest atoms and distances in Å follow each position.
Fractional coordinates of all 5 atoms:
Ba 0.0000 0.5000 0.0000  2 Ir 3.04
Ba 0.5000 0.0000 0.0000  2 Ir 3.04
Cu 0.0000 0.0000 0.5000  2 Ir 2.34
Te 0.5000 0.5000 0.5000  8 Ba 3.84, 4 Cu 4.30
Ir 0.0000 0.0000 0.0000  2 Cu 2.34



Below is a geometry-optimized KBa2Cu structure, with properties calculated at the PBE level.

Values from the calculation:
density	2.99	g/cm3

Cell lengths 8.3092, 8.3092, 8.3092 Å; angles 102.67, 102.67, 124.14 degrees
Closest atoms and distances in Å follow each position.
Fractional coordinates of all 8 atoms:
K 0.0000 0.0000 0.0000  2 Cu 3.89, 4 Ba 4.18
K 0.7500 0.2500 0.5000  2 Cu 3.89, 4 Ba 4.18
Ba 0.2308 0.6250 0.1058  2 Cu 3.15
Ba 0.3750 0.4808 0.6058  2 Cu 3.15
Ba 0.5192 0.1250 0.8942  2 Cu 3.15
Ba 0.8750 0.7692 0.3942  2 Cu 3.15
Cu 0.2500 0.7500 0.5000  4 Ba 3.15
Cu 0.5000 0.5000 0.0000  4 Ba 3.15



Below is a geometry-optimized KBa2Cu structure, with properties calculated at the PBE level.

Values from the calculation:
density	2.99	g/cm3

Cell lengths 4.7270, 4.4631, 10.2173 Å; angles 90.00, 103.32, 90.00 degrees
Closest atoms and distances in Å follow each position.
Fractional coordinates of all 4 atoms:
K 0.0000 0.0000 0.0000  2 Cu 3.86, 2 Ba 4.19-4.20
Ba 0.3261 0.5000 0.6520  1 Cu 3.33
Ba 0.6752 0.0000 0.3485  4 Cu 3.26-3.27
Cu 0.1602 0.5000 0.3170  5 Ba 3.26-3.33



Below is a geometry-optimized K2BaCu structure, with properties calculated at the PBE level.

Values from the calculation:
density	2.21	g/cm3

Cell lengths 10.7406, 10.7406, 10.7406 Å; angles 157.68, 153.46, 34.95 degrees
Closest atoms and distances in Å follow each position.
Fractional coordinates of all 4 atoms:
K 0.1624 0.1624 0.0000  2 Cu 3.92, 2 Ba 4.14, 2 K 4.16
K 0.8376 0.8376 0.0000  2 Cu 3.92, 2 Ba 4.14, 2 K 4.16
Ba 0.5000 0.0000 0.5000  4 Cu 3.23
Cu 0.0000 0.5000 0.5000  4 Ba 3.23



Below is a geometry-optimized KBaCu2 structure, with properties calculated at the PBE level.

Values from the calculation:
density	3.88	g/cm3

Cell lengths 4.5287, 6.5459, 6.5459 Å; angles 42.08, 90.00, 90.00 degrees
Closest atoms and distances in Å follow each position.
Fractional coordinates of all 4 atoms:
K 0.0000 0.0000 0.0000  6 Cu 3.31-3.50
Ba 0.5000 0.2821 0.2821  6 Cu 3.21-3.45
Cu 0.0000 0.6913 0.6913  2 Cu 2.50
Cu 0.5000 0.6037 0.6037  2 Cu 2.50



Below is a geometry-optimized KBaCu4 structure, with properties calculated at the PBE level.

Values from the calculation:
density	5.65	g/cm3

Cell lengths 5.6356, 5.6356, 5.6356 Å; angles 60.00, 60.00, 60.00 degrees
Closest atoms and distances in Å follow each position.
Fractional coordinates of all 6 atoms:
K 0.0000 0.0000 0.0000  12 Cu 3.29, 4 Ba 3.45
Ba 0.7500 0.7500 0.7500  12 Cu 3.32, 4 K 3.45
Cu 0.3691 0.3691 0.3691  6 Cu 2.68-2.95
Cu 0.3691 0.3691 0.8927  6 Cu 2.68-2.95
Cu 0.3691 0.8927 0.3691  6 Cu 2.68-2.95
Cu 0.8927 0.3691 0.3691  6 Cu 2.68-2.95



Below is a geometry-optimized K2BaCu structure, with properties calculated at the PBE level.

Values from the calculation:
density	2.20	g/cm3

Cell lengths 8.6327, 8.6327, 8.6327 Å; angles 98.45, 98.45, 134.93 degrees
Closest atoms and distances in Å follow each position.
Fractional coordinates of all 8 atoms:
K 0.0212 0.6250 0.8962  2 Cu 3.37
K 0.3750 0.2712 0.3962  2 Cu 3.37
K 0.7288 0.1250 0.1038  2 Cu 3.37
K 0.8750 0.9788 0.6038  2 Cu 3.37
Ba 0.2500 0.7500 0.5000  2 Cu 3.31
Ba 0.5000 0.5000 0.0000  2 Cu 3.31
Cu 0.0000 0.0000 0.0000  2 Ba 3.31, 4 K 3.37
Cu 0.7500 0.2500 0.5000  2 Ba 3.31, 4 K 3.37



Below is a geometry-optimized KBaCu3 structure, with properties calculated at the PBE level.

Values from the calculation:
density	2.78	g/cm3

Cell lengths 6.0290, 6.0290, 6.0290 Å; angles 90.00, 90.00, 90.00 degrees
Closest atoms and distances in Å follow each position.
Fractional coordinates of all 5 atoms:
K 0.0000 0.0000 0.0000  12 Cu 4.26
Ba 0.5000 0.5000 0.5000  6 Cu 3.01
Cu 0.0000 0.5000 0.5000  2 Ba 3.01
Cu 0.5000 0.0000 0.5000  2 Ba 3.01
Cu 0.5000 0.5000 0.0000  2 Ba 3.01



Number 1: E -4.374 eV/atom. Number 2: E -2.049 eV/atom. Number 3: E -2.152 eV/atom. Number 4: E -1.886 eV/atom. Number 5: E -2.661 eV/atom. Number 6: E -2.960 eV/atom. Number 7: E -1.760 eV/atom. Number 8: E -2.293 eV/atom.